1.
Compound: Pm2Nd5Sm6
Source: Alexandria via LeMat-Bulk
Functional: PBE
Structure: relaxed

Fermi-level density of states (states/eV per cell): 31.70
Space-group type: Pbam
ΔE_f (kcal/mol of atoms): 2.07
Size of the total moment (μB/atom): 0.00
Volume (Å³/cell): 908.1
Electronic total energy (eV per atom): -4.653

a b c (Å): 11.8919 20.8674 3.6593
angles (deg): 90.00 90.00 90.00
With the nearest neighbours (Å) after each atom.
Element x y z (fractional)
Pm  0.1742  0.2158  0.0000  3 Sm 3.41-3.67, 4 Nd 3.58-3.64, 2 Pm 3.66
Pm  0.3258  0.7158  0.0000  3 Sm 3.41-3.67, 4 Nd 3.58-3.64, 2 Pm 3.66
Pm  0.6742  0.2842  0.0000  3 Sm 3.41-3.67, 4 Nd 3.58-3.64, 2 Pm 3.66
Pm  0.8258  0.7842  0.0000  3 Sm 3.41-3.67, 4 Nd 3.58-3.64, 2 Pm 3.66
Nd  0.0000  0.5000  0.5000  6 Sm 3.47-3.48, 4 Nd 3.66-3.75
Nd  0.0840  0.7777  0.5000  5 Sm 3.39-3.55, 4 Pm 3.58-3.64, 2 Nd 3.66
Nd  0.1995  0.0547  0.5000  6 Sm 3.63-3.69, 3 Nd 3.66-3.75, 2 Pm 3.84
Nd  0.3005  0.5547  0.5000  6 Sm 3.63-3.69, 3 Nd 3.66-3.75, 2 Pm 3.84
Nd  0.4160  0.2777  0.5000  5 Sm 3.39-3.55, 4 Pm 3.58-3.64, 2 Nd 3.66
Nd  0.5000  0.0000  0.5000  6 Sm 3.47-3.48, 4 Nd 3.66-3.75
Nd  0.5840  0.7223  0.5000  5 Sm 3.39-3.55, 4 Pm 3.58-3.64, 2 Nd 3.66
Nd  0.6995  0.4453  0.5000  6 Sm 3.63-3.69, 3 Nd 3.66-3.75, 2 Pm 3.84
Nd  0.8005  0.9453  0.5000  6 Sm 3.63-3.69, 3 Nd 3.66-3.75, 2 Pm 3.84
Nd  0.9160  0.2223  0.5000  5 Sm 3.39-3.55, 4 Pm 3.58-3.64, 2 Nd 3.66
Sm  0.0619  0.9228  0.0000  5 Sm 3.54-3.76, 6 Nd 3.55-3.69
Sm  0.0773  0.6345  0.0000  1 Pm 3.41, 6 Nd 3.47-3.63, 4 Sm 3.56-3.66
Sm  0.1793  0.3682  0.5000  2 Nd 3.39-3.48, 6 Sm 3.56-3.76, 2 Pm 3.67
Sm  0.3207  0.8682  0.5000  2 Nd 3.39-3.48, 6 Sm 3.56-3.76, 2 Pm 3.67
Sm  0.4227  0.1345  0.0000  1 Pm 3.41, 6 Nd 3.47-3.63, 4 Sm 3.56-3.66
Sm  0.4381  0.4228  0.0000  5 Sm 3.54-3.76, 6 Nd 3.55-3.69
Sm  0.5619  0.5772  0.0000  5 Sm 3.54-3.76, 6 Nd 3.55-3.69
Sm  0.5773  0.8655  0.0000  1 Pm 3.41, 6 Nd 3.47-3.63, 4 Sm 3.56-3.66
Sm  0.6793  0.1318  0.5000  2 Nd 3.39-3.48, 6 Sm 3.56-3.76, 2 Pm 3.67
Sm  0.8207  0.6318  0.5000  2 Nd 3.39-3.48, 6 Sm 3.56-3.76, 2 Pm 3.67
Sm  0.9227  0.3655  0.0000  1 Pm 3.41, 6 Nd 3.47-3.63, 4 Sm 3.56-3.66
Sm  0.9381  0.0772  0.0000  5 Sm 3.54-3.76, 6 Nd 3.55-3.69

***

2.
Compound: TmCrN
Source: Alexandria via LeMat-Bulk
Functional: PBE
Structure: relaxed

Fermi-level density of states (states/eV per cell): 9.62
Space-group type: Amm2
Size of the total moment (μB/atom): 0.00
Volume (Å³/cell): 172.0
Electronic total energy (eV per atom): -7.620

a b c (Å): 10.2289 3.1162 5.3948
angles (deg): 90.00 90.00 90.00
With the nearest neighbours (Å) after each atom.
Element x y z (fractional)
Tm  0.1451  0.0000  0.0000  3 N 2.33
Tm  0.1451  0.5000  0.5000  3 N 2.33
Tm  0.8549  0.0000  0.0000  3 N 2.33
Tm  0.8549  0.5000  0.5000  3 N 2.33
Cr  0.3934  0.0000  0.3348  3 N 2.10, 1 Cr 2.18
Cr  0.3934  0.5000  0.8348  3 N 2.10, 1 Cr 2.18
Cr  0.6066  0.0000  0.3348  3 N 2.10, 1 Cr 2.18
Cr  0.6066  0.5000  0.8348  3 N 2.10, 1 Cr 2.18
N  0.0000  0.0000  0.6666  6 Tm 2.33
N  0.0000  0.5000  0.1666  6 Tm 2.33
N  0.5000  0.0000  0.6679  6 Cr 2.10
N  0.5000  0.5000  0.1679  6 Cr 2.10

***

3.
Compound: Rb3BaNa3
Source: Alexandria via LeMat-Bulk
Functional: PBE
Structure: relaxed

Fermi-level density of states (states/eV per cell): 11.00
Space-group type: Pm-3n
ΔE_f (kcal/mol of atoms): 7.90
Size of the total moment (μB/atom): 0.00
Volume (Å³/cell): 1104.3
Electronic total energy (eV per atom): -0.912

a b c (Å): 10.3363 10.3363 10.3363
angles (deg): 90.00 90.00 90.00
With the nearest neighbours (Å) after each atom.
Element x y z (fractional)
Rb  0.0000  0.2500  0.5000  4 Na 3.65
Rb  0.0000  0.7500  0.5000  4 Na 3.65
Rb  0.2500  0.5000  0.0000  4 Na 3.65
Rb  0.5000  0.0000  0.2500  4 Na 3.65
Rb  0.5000  0.0000  0.7500  4 Na 3.65
Rb  0.7500  0.5000  0.0000  4 Na 3.65
Ba  0.0000  0.0000  0.0000  12 Na 5.78, 12 Rb 5.78
Ba  0.5000  0.5000  0.5000  12 Na 5.78, 12 Rb 5.78
Na  0.0000  0.5000  0.2500  4 Rb 3.65
Na  0.0000  0.5000  0.7500  4 Rb 3.65
Na  0.2500  0.0000  0.5000  4 Rb 3.65
Na  0.5000  0.2500  0.0000  4 Rb 3.65
Na  0.5000  0.7500  0.0000  4 Rb 3.65
Na  0.7500  0.0000  0.5000  4 Rb 3.65

***

4.
Compound: Cr2ReSe
Source: Alexandria via LeMat-Bulk
Functional: PBE
Structure: relaxed

Fermi-level density of states (states/eV per cell): 4.38
Space-group type: P4mm
E above lowest polymorph (meV per atom): 52
Size of the total moment (μB/atom): 0.00
Volume (Å³/cell): 54.1
Electronic total energy (eV per atom): -8.543

a b c (Å): 2.9662 2.9662 6.1440
angles (deg): 90.00 90.00 90.00
With the nearest neighbours (Å) after each atom.
Element x y z (fractional)
Cr  0.0000  0.0000  0.0000  4 Se 2.50, 4 Cr 2.56
Cr  0.5000  0.5000  0.2396  4 Re 2.55, 4 Cr 2.56, 1 Se 2.82
Re  0.0000  0.0000  0.4765  4 Cr 2.55, 4 Se 2.81
Se  0.5000  0.5000  0.7799  4 Cr 2.50

***

5.
Compound: Tb2Sm4HoTh
Source: Alexandria via LeMat-Bulk
Functional: PBE
Structure: relaxed

Fermi-level density of states (states/eV per cell): 16.25
Space-group type: P4/mmm
ΔE_f (kcal/mol of atoms): 3.24
Size of the total moment (μB/atom): 0.00
Volume (Å³/cell): 262.8
Electronic total energy (eV per atom): -4.876

a b c (Å): 6.0140 6.0140 7.2671
angles (deg): 90.00 90.00 90.00
With the nearest neighbours (Å) after each atom.
Element x y z (fractional)
Tb  0.0000  0.0000  0.0000  8 Sm 3.51, 2 Ho 3.63
Tb  0.5000  0.5000  0.5000  8 Sm 3.52, 2 Th 3.63
Sm  0.0000  0.5000  0.2478  2 Th 3.51, 4 Tb 3.51-3.52, 2 Ho 3.52, 2 Sm 3.60-3.66
Sm  0.0000  0.5000  0.7522  2 Th 3.51, 4 Tb 3.51-3.52, 2 Ho 3.52, 2 Sm 3.60-3.66
Sm  0.5000  0.0000  0.2478  2 Th 3.51, 4 Tb 3.51-3.52, 2 Ho 3.52, 2 Sm 3.60-3.66
Sm  0.5000  0.0000  0.7522  2 Th 3.51, 4 Tb 3.51-3.52, 2 Ho 3.52, 2 Sm 3.60-3.66
Ho  0.0000  0.0000  0.5000  8 Sm 3.52, 2 Tb 3.63
Th  0.5000  0.5000  0.0000  8 Sm 3.51, 2 Tb 3.63

***

6.
Compound: TbPm2PuP4
Source: Alexandria via LeMat-Bulk
Functional: PBE
Structure: relaxed

Fermi-level density of states (states/eV per cell): 12.28
Space-group type: P2/m
ΔE_f (kcal/mol of atoms): -33.70
Size of the total moment (μB/atom): 0.61
Volume (Å³/cell): 190.3
Electronic total energy (eV per atom): -7.724

a b c (Å): 7.0348 4.0749 7.0425
angles (deg): 90.00 109.47 90.00
With the nearest neighbours (Å) after each atom.
Element x y z (fractional)
Tb  0.0000  0.0000  0.0000  6 P 2.85
Pm  0.0000  0.5000  0.5000  6 P 2.92-2.93
Pm  0.5000  0.0000  0.5000  6 P 2.90
Pu  0.5000  0.5000  0.0000  6 P 2.82-2.83
P  0.2501  0.5000  0.2413  1 Pu 2.82, 2 Tb 2.85, 3 Pm 2.90-2.92
P  0.2568  0.0000  0.7612  2 Pu 2.83, 1 Tb 2.85, 3 Pm 2.90-2.93
P  0.7432  0.0000  0.2388  2 Pu 2.83, 1 Tb 2.85, 3 Pm 2.90-2.93
P  0.7499  0.5000  0.7587  1 Pu 2.82, 2 Tb 2.85, 3 Pm 2.90-2.92

***

7.
Compound: USbI
Source: Alexandria via LeMat-Bulk
Functional: PBE
Structure: relaxed

Fermi-level density of states (states/eV per cell): 13.18
Space-group type: C2/m
E above lowest polymorph (meV per atom): 0
Size of the total moment (μB/atom): 0.19
Volume (Å³/cell): 454.9
Electronic total energy (eV per atom): -5.925

a b c (Å): 17.4943 4.4170 6.1060
angles (deg): 90.00 105.40 90.00
With the nearest neighbours (Å) after each atom.
Element x y z (fractional)
U  0.2257  0.0000  0.4006  2 U 2.55
U  0.2743  0.5000  0.5994  2 U 2.55
U  0.7257  0.5000  0.4006  2 U 2.55
U  0.7743  0.0000  0.5994  2 U 2.55
Sb  0.1963  0.0000  0.8678  4 U 3.03-3.26, 2 Sb 3.07
Sb  0.3037  0.5000  0.1322  4 U 3.03-3.26, 2 Sb 3.07
Sb  0.6963  0.5000  0.8678  4 U 3.03-3.26, 2 Sb 3.07
Sb  0.8037  0.0000  0.1322  4 U 3.03-3.26, 2 Sb 3.07
I  0.0907  0.5000  0.3087  3 U 3.17-3.23
I  0.4093  0.0000  0.6913  3 U 3.17-3.23
I  0.5907  0.0000  0.3087  3 U 3.17-3.23
I  0.9093  0.5000  0.6913  3 U 3.17-3.23